# 1
Entry from Alexandria: a geometry-optimized SmThTcRh structure (PBE).

a = 7.0535 Å, b = 7.0535 Å, c = 7.0535 Å
α = 90.00°, β = 90.00°, γ = 90.00°
Space group F-43m (No. 216)
Inequivalent atoms, fractional coordinates:
Sm 0.0000 0.0000 0.0000 (multiplicity 4)
Th 0.0000 0.0000 0.5000 (multiplicity 4)
Tc 0.2500 0.2500 0.2500 (multiplicity 4)
Rh 0.2500 0.2500 0.7500 (multiplicity 4)

Values from the calculation:
Energy of formation from the pure elements (eV/atom): -0.334

# 2
Entry from Alexandria: a geometry-optimized Sc3TlRu2 structure (PBE).

a = 3.2588 Å, b = 3.2588 Å, c = 10.7043 Å
α = 90.00°, β = 90.00°, γ = 90.00°
Space group P4/mmm (No. 123)
Inequivalent atoms, fractional coordinates:
Sc 0.0000 0.0000 0.0000 (multiplicity 1)
Sc 0.0000 0.0000 0.2903 (multiplicity 2)
Tl 0.5000 0.5000 0.5000 (multiplicity 1)
Ru 0.5000 0.5000 0.1533 (multiplicity 2)

Values from the calculation:
Energy of formation from the pure elements (eV/atom): -0.539

# 3
Entry from Alexandria: a geometry-optimized Ce4PrSn5 structure (PBE).

a = 3.5105 Å, b = 3.5105 Å, c = 22.6416 Å
α = 90.00°, β = 90.00°, γ = 90.00°
Space group P4/mmm (No. 123)
Inequivalent atoms, fractional coordinates:
Ce 0.0000 0.0000 0.0990 (multiplicity 2)
Ce 0.0000 0.0000 0.2973 (multiplicity 2)
Pr 0.0000 0.0000 0.5000 (multiplicity 1)
Sn 0.5000 0.5000 0.0000 (multiplicity 1)
Sn 0.5000 0.5000 0.1982 (multiplicity 2)
Sn 0.5000 0.5000 0.3974 (multiplicity 2)

Values from the calculation:
Energy of formation from the pure elements (eV/atom): -0.607

# 4
Entry from Alexandria: a geometry-optimized K2AuO2 structure (PBE).

a = 6.4130 Å, b = 6.4130 Å, c = 4.2213 Å
α = 90.00°, β = 90.00°, γ = 90.00°
Space group P4/mbm (No. 127)
Inequivalent atoms, fractional coordinates:
K 0.1503 0.3497 0.0000 (multiplicity 4)
Au 0.0000 0.0000 0.5000 (multiplicity 2)
O 0.1833 0.6833 0.5000 (multiplicity 4)

Values from the calculation:
Raw formation energy (eV/atom): -0.56

# 5
Entry from Alexandria: a geometry-optimized Pm4SnSbC structure (PBE).

a = 7.0207 Å, b = 16.2532 Å, c = 7.0194 Å
α = 90.00°, β = 90.00°, γ = 90.00°
Space group Cmcm (No. 63)
Inequivalent atoms, fractional coordinates:
Pm 0.0000 0.0896 0.2500 (multiplicity 4)
Pm 0.0000 0.4095 0.2500 (multiplicity 4)
Pm 0.2500 0.2500 0.0000 (multiplicity 8)
Sn 0.0000 0.1096 0.7500 (multiplicity 4)
Sb 0.0000 0.3902 0.7500 (multiplicity 4)
C 0.0000 0.2504 0.2500 (multiplicity 4)

Values from the calculation:
Raw formation energy (eV/atom): -0.65

# 6
Entry from Alexandria: a geometry-optimized Y2TiHPd structure (PBE).

a = 4.9664 Å, b = 4.9664 Å, c = 3.7864 Å
α = 90.00°, β = 90.00°, γ = 90.00°
Space group P4/mmm (No. 123)
Inequivalent atoms, fractional coordinates:
Y 0.0000 0.5000 0.0000 (multiplicity 2)
Ti 0.0000 0.0000 0.5000 (multiplicity 1)
H 0.0000 0.0000 0.0000 (multiplicity 1)
Pd 0.5000 0.5000 0.5000 (multiplicity 1)

Number 1: total moment 0.00 Bohr magnetons per cell, DFT total energy -124.78 eV/cell. Number 2: total moment 0.00 Bohr magnetons per cell, DFT total energy -43.15 eV/cell. Number 3: total moment 4.03 Bohr magnetons per cell, DFT total energy -54.60 eV/cell. Number 4: total moment 0.00 Bohr magnetons per cell, DFT total energy -36.36 eV/cell. Number 5: total moment 0.00 Bohr magnetons per cell, DFT total energy -163.68 eV/cell. Number 6: total moment 2.30 Bohr magnetons per cell, DFT total energy -31.04 eV/cell.